# FeTcCl4

An optimized crystal structure of FeTcCl4 (PBE, Alexandria).

Unit cell a=5.780 b=5.780 c=5.780 alpha=60.00 beta=60.00 gamma=60.00
Site moments in Bohr magnetons follow the coordinates.
Positions (direct):
Fe  0.750  0.750  0.750  3.48
Tc  0.000  0.000  0.000  -3.83
Cl  0.875  0.375  0.375  0.31
Cl  0.375  0.375  0.875  0.31
Cl  0.375  0.875  0.375  0.31
Cl  0.375  0.375  0.375  0.31

* uncorrected energy: -18.4 eV/cell
* N(E_F): 10.56 states/eV/cell
* ΔE_f (raw): 1.31 eV per atom
* crystal system: cubic
* total moment: 0.90 μB per formula unit